1.
Here is an optimized crystal structure of Ti2Al2Cr from Alexandria. Energies are from PBE.

a = 6.681 Å, b = 6.681 Å, c = 3.518 Å
α = 90.00°, β = 90.00°, γ = 90.00°
Atoms (fractional coordinates):
Ti 0.672 0.828 0.500
Cr 0.500 0.500 0.000
Ti 0.828 0.328 0.500
Ti 0.328 0.172 0.500
Al 0.633 0.133 0.000
Ti 0.172 0.672 0.500
Al 0.367 0.867 0.000
Al 0.867 0.633 0.000
Cr 0.000 0.000 0.000
Al 0.133 0.367 0.000

---

2.
Here is an optimized crystal structure of TiAl6Cr from Alexandria. Energies are from PBE.

* energy relative to the lowest polymorph listed for this composition: 0.0000 eV per atom

a = 3.944 Å, b = 3.944 Å, c = 7.868 Å
α = 90.00°, β = 90.00°, γ = 90.00°
Each line ends with the local moment (μB).
Atoms (fractional coordinates):
Al 0.500 0.500 0.000  -0.01
Ti 0.000 0.000 0.000  0.01
Al 0.500 0.500 0.500  -0.02
Cr 0.000 0.000 0.500  2.52
Al 0.000 0.500 0.742  -0.01
Al 0.500 0.000 0.258  -0.01
Al 0.000 0.500 0.258  -0.01
Al 0.500 0.000 0.742  -0.01

---

3.
Here is an optimized crystal structure of Ti2AlCr2 from Alexandria. Energies are from PBE.

a = 6.933 Å, b = 6.933 Å, c = 3.095 Å
α = 90.00°, β = 90.00°, γ = 90.00°
Atoms (fractional coordinates):
Ti 0.697 0.803 0.500
Al 0.000 0.000 0.000
Ti 0.303 0.197 0.500
Ti 0.803 0.303 0.500
Al 0.500 0.500 0.000
Cr 0.101 0.399 0.000
Ti 0.197 0.697 0.500
Cr 0.601 0.101 0.000
Cr 0.899 0.601 0.000
Cr 0.399 0.899 0.000

---

4.
Here is an optimized crystal structure of Ti3AlCr from Alexandria. Energies are from PBE.

* energy relative to the lowest polymorph listed for this composition: 0.0000 eV per atom

a = 4.507 Å, b = 4.507 Å, c = 4.507 Å
α = 90.00°, β = 90.00°, γ = 90.00°
Each line ends with the local moment (μB).
Atoms (fractional coordinates):
Cr 0.000 0.000 0.000  -0.04
Al 0.500 0.500 0.500  -0.01
Ti 0.500 0.000 0.000  0.32
Ti 0.000 0.000 0.500  0.11
Ti 0.000 0.500 0.000  0.17

---

5.
Here is an optimized crystal structure of TiAl6Cr from Alexandria. Energies are from PBE.

* energy relative to the lowest polymorph listed for this composition: 0.2156 eV per atom

a = 7.198 Å, b = 7.200 Å, c = 5.064 Å
α = 44.76°, β = 44.79°, γ = 59.73°
Each line ends with the local moment (μB).
Atoms (fractional coordinates):
Ti 0.000 0.000 0.000  0.67
Al 0.248 0.000 0.250  -0.01
Al 0.500 0.248 0.254  -0.01
Al 0.001 0.498 0.749  -0.01
Cr 0.500 0.500 0.500  2.67
Al 0.500 0.752 0.746  -0.01
Al 0.999 0.502 0.251  -0.01
Al 0.752 0.000 0.750  -0.01

---

6.
Here is an optimized crystal structure of Ti4AlCr from Alexandria. Energies are from PBE.

a = 4.142 Å, b = 2.853 Å, c = 9.028 Å
α = 63.01°, β = 90.00°, γ = 90.00°
Atoms (fractional coordinates):
Al 0.501 0.497 0.998
Ti 0.001 0.289 0.816
Ti 0.501 0.069 0.647
Cr 0.001 0.997 0.498
Ti 0.501 0.926 0.350
Ti 0.001 0.705 0.181

---

no.,E_tot (eV/f.u.)
1,-33.193
2,-41.833
3,-38.841
4,-34.659
5,-40.109
6,-45.459